8
Lattice="0.0000 5.9447 4.2892 4.2295 0.0000 4.2892 4.2295 5.9447 0.0000" Properties=species:S:1:pos:R:3 comment="NaSn2PbSe4 (PBE, optimized geometry)" spacegroup=Fmm2 dos_at_fermi_per_ev_fu=4.2 mass_density_g_cm3=6.03 energy_ev_per_atom=-3.951 raw_formation_energy_ev_per_atom=-0.58 pbc="T T T"
Na 0.0000 0.0000 0.0000
Sn 2.1147 2.9724 2.2495
Sn 6.3442 8.9171 6.5387
Pb 4.2295 5.9447 4.3093
Se 4.2295 2.9360 4.2204
Se 6.3473 5.9447 6.4245
Se 4.2295 8.9534 4.2204
Se 2.1116 5.9447 6.4245